No. 1
A relaxed structure of La2SbP. Source: Alexandria, functional PBE-GGA.

abc: 3.7294 3.7294 7.9964
angles: 90.00 90.00 97.90
Atoms (fractional coordinates):
1 La 0.0000 0.0000 0.7228
2 La 0.0000 0.0000 0.2772
3 Sb 0.5000 0.5000 0.0000
4 P 0.5000 0.5000 0.5000

Properties
- Relative energy among the computed polymorphs: 0.278 eV per atom
- Total moment: 0.00 μB per formula unit
- DOS(E_F): 0.600 states/eV/atom
- Space-group type: No. 65



No. 2
A relaxed structure of LaSbP. Source: Alexandria, functional PBE-GGA.

abc: 4.9115 4.9115 4.9115
angles: 60.00 60.00 60.00
Atoms (fractional coordinates):
1 P 0.2500 0.2500 0.2500
2 La 0.5000 0.5000 0.5000
3 Sb 0.0000 0.0000 0.0000

Properties
- Relative energy among the computed polymorphs: 0.274 eV per atom
- Total moment: 0.00 μB per formula unit
- DOS(E_F): 1.236 states/eV/atom
- Space-group type: No. 216



No. 3
A relaxed structure of LaSbP2. Source: Alexandria, functional PBE-GGA.

abc: 4.8158 4.8158 3.8155
angles: 90.00 90.00 90.00
Atoms (fractional coordinates):
1 La 0.0000 0.0000 0.5000
2 P 0.0000 0.5000 0.0000
3 P 0.5000 0.0000 0.0000
4 Sb 0.5000 0.5000 0.5000

Properties
- Total moment: 0.00 μB per formula unit
- DOS(E_F): 0.398 states/eV/atom
- Space-group type: No. 123



No. 4
A relaxed structure of LaSbP. Source: Alexandria, functional PBE-GGA.

abc: 4.4388 4.4388 8.3039
angles: 90.09 90.09 91.96
Atoms (fractional coordinates):
1 P 0.7494 0.7494 0.3118
2 P 0.2506 0.2506 0.6882
3 Sb 0.0000 0.5000 0.0000
4 Sb 0.5000 0.0000 0.0000
5 La 0.2492 0.2492 0.3345
6 La 0.7508 0.7508 0.6655

Properties
- Relative energy among the computed polymorphs: 0.000 eV per atom
- Total moment: 0.00 μB per formula unit
- DOS(E_F): 0.401 states/eV/atom
- Space-group type: No. 12



No. 5
A relaxed structure of La4SbP. Source: Alexandria, functional PBE-GGA.

abc: 6.3357 6.3357 6.3357
angles: 60.00 60.00 60.00
Atoms (fractional coordinates):
1 Sb 0.0000 0.0000 0.0000
2 La 0.3749 0.8753 0.3749
3 La 0.3749 0.3749 0.3749
4 La 0.8753 0.3749 0.3749
5 La 0.3749 0.3749 0.8753
6 P 0.7500 0.7500 0.7500

Properties
- Total moment: 0.00 μB per formula unit
- DOS(E_F): 1.025 states/eV/atom
- Space-group type: No. 216



No. 6
A relaxed structure of La2SbP. Source: Alexandria, functional PBE-GGA.

abc: 7.7651 7.7651 7.7651
angles: 33.15 33.15 33.15
Atoms (fractional coordinates):
1 La 0.5071 0.5071 0.5071
2 La 0.9929 0.9929 0.9929
3 P 0.2500 0.2500 0.2500
4 Sb 0.7500 0.7500 0.7500

Properties
- Relative energy among the computed polymorphs: 0.000 eV per atom
- Total moment: 0.00 μB per formula unit
- DOS(E_F): 0.228 states/eV/atom
- Space-group type: No. 166



No. 7
A relaxed structure of LaSb2P. Source: Alexandria, functional PBE-GGA.

abc: 8.5630 8.5630 6.7562
angles: 50.67 50.67 90.00
Atoms (fractional coordinates):
1 La 0.7500 0.2500 0.5000
2 La 0.0000 0.0000 0.0000
3 Sb 0.3750 0.4252 0.7500
4 Sb 0.8750 0.8248 0.7500
5 Sb 0.1752 0.6250 0.2500
6 Sb 0.5748 0.1250 0.2500
7 P 0.5000 0.5000 0.0000
8 P 0.2500 0.7500 0.5000

Properties
- Total moment: 0.00 μB per formula unit
- DOS(E_F): 0.564 states/eV/atom
- Space-group type: No. 122



No. 8
A relaxed structure of La2SbP. Source: Alexandria, functional PBE-GGA.

abc: 6.5812 6.5812 6.5812
angles: 140.61 140.61 56.93
Atoms (fractional coordinates):
1 La 0.0000 0.0000 0.0000
2 La 0.2500 0.7500 0.5000
3 P 0.5000 0.5000 0.0000
4 Sb 0.7500 0.2500 0.5000

Properties
- Relative energy among the computed polymorphs: 0.445 eV per atom
- Total moment: 0.00 μB per formula unit
- DOS(E_F): 0.406 states/eV/atom
- Space-group type: No. 119



no.,ΔE_f (raw) (meV per atom)
1,-1119
2,-571
3,-546
4,-845
5,-30
6,-1397
7,-365
8,-952